Here is a geometry-optimized CrAg6F12 structure from Alexandria via LeMat-Bulk. Energies are from PBE with a Hubbard U.

Structure (extended XYZ):
```
19
Lattice="5.048 2.915 3.270 -5.048 2.915 3.270 0.000 -5.829 3.270" Properties=species:S:1:pos:R:3 pbc="T T T"
Cr 0.000 0.000 0.000
Ag -2.350 0.381 3.362
Ag 0.845 -2.226 3.362
Ag -1.505 -1.845 6.449
Ag 1.505 1.845 3.362
Ag -0.845 2.226 6.449
Ag 2.350 -0.381 6.449
F -3.443 -3.223 5.480
F -4.513 1.371 4.331
F -1.236 -1.793 3.860
F 1.070 -4.594 4.331
F -2.171 0.174 5.950
F -0.935 1.967 3.860
F 0.935 -1.967 5.950
F 2.171 -0.174 3.860
F -1.070 4.594 5.480
F 1.236 1.793 5.950
F 4.513 -1.371 5.480
F 3.443 3.223 4.331
```

Properties
SG: R-3, No. 148
Raw total energy: -74.762 eV/cell
Density of states at the Fermi level: 0.426 states/eV/atom
Spin magnetization: 0.14 μB/f.u.